No. 1
# TcSbBr

Crystalline TcSbBr at its relaxed geometry (GGA-PBE, Alexandria via LeMat-Bulk).

POSCAR file:
```
TcSbBr
1.0
-1.613 -0.514 4.233
1.553 -3.380 2.636
2.658 0.941 3.582
Br Tc Sb
1 1 1
direct
0.000 0.000 0.000
0.750 0.750 0.750
0.500 0.500 0.500
```

Calculated values
Energy relative to the lowest polymorph listed for this composition ... 228 meV per atom
E ... -4.95 eV per atom
Symmetry ... No. 216

---

No. 2
# TcSb2Br

Crystalline TcSb2Br at its relaxed geometry (GGA-PBE, Alexandria via LeMat-Bulk).

POSCAR file:
```
TcSb2Br
1.0
8.912 0.005 0.003
8.218 3.448 0.003
8.218 1.657 3.024
Sb Br Tc
2 1 1
direct
0.513 0.513 0.513
0.987 0.987 0.987
0.750 0.750 0.750
0.250 0.250 0.250
```

Calculated values
Energy relative to the lowest polymorph listed for this composition ... 28 meV per atom
E ... -5.03 eV per atom
Symmetry ... No. 166

---

No. 3
# TcSb2Br

Crystalline TcSb2Br at its relaxed geometry (GGA-PBE, Alexandria via LeMat-Bulk).

POSCAR file:
```
TcSb2Br
1.0
-5.169 -0.315 2.337
0.908 -5.145 2.233
0.330 0.347 3.162
Tc Br Sb
1 1 2
direct
0.500 0.000 0.500
0.000 0.500 0.500
0.500 0.500 0.000
0.000 0.000 0.000
```

Calculated values
Energy relative to the lowest polymorph listed for this composition ... 476 meV per atom
E ... -4.58 eV per atom
Symmetry ... No. 12

---

No. 4
# TcSb2Br

Crystalline TcSb2Br at its relaxed geometry (GGA-PBE, Alexandria via LeMat-Bulk).

POSCAR file:
```
TcSb2Br
1.0
-4.502 -1.118 -1.774
-1.030 -4.650 -1.406
-3.112 -2.777 2.695
Sb Br Tc
2 1 1
direct
0.250 0.250 0.250
0.000 0.000 0.000
0.500 0.500 0.500
0.750 0.750 0.750
```

Calculated values
Energy relative to the lowest polymorph listed for this composition ... 670 meV per atom
E ... -4.39 eV per atom
Symmetry ... No. 216

---

No. 5
# TcSbBr4

Crystalline TcSbBr4 at its relaxed geometry (GGA-PBE, Alexandria via LeMat-Bulk).

POSCAR file:
```
TcSbBr4
1.0
-1.850 0.450 5.884
-1.627 5.498 2.318
-5.931 1.177 1.295
Br Sb Tc
4 1 1
direct
0.374 0.374 0.877
0.877 0.374 0.374
0.374 0.374 0.374
0.374 0.877 0.374
0.750 0.750 0.750
0.000 0.000 0.000
```

Calculated values
E ... -2.37 eV per atom
Symmetry ... No. 216

---

No. 6
# TcSb2Br

Crystalline TcSb2Br at its relaxed geometry (GGA-PBE, Alexandria via LeMat-Bulk).

POSCAR file:
```
TcSb2Br
1.0
-2.515 -3.704 -2.880
-2.135 -2.003 4.448
-2.450 1.909 -0.316
Sb Br Tc
2 1 1
direct
0.000 0.000 0.000
0.500 0.500 0.000
0.000 0.500 0.500
0.500 0.000 0.500
```

Calculated values
Energy relative to the lowest polymorph listed for this composition ... 645 meV per atom
E ... -4.41 eV per atom
Symmetry ... No. 123

---

No. 7
# TcSbBr

Crystalline TcSbBr at its relaxed geometry (GGA-PBE, Alexandria via LeMat-Bulk).

POSCAR file:
```
TcSbBr
1.0
8.609 -0.098 0.059
7.674 3.037 -0.035
0.935 -1.558 2.723
Br Tc Sb
1 1 1
direct
0.962 0.962 0.038
0.340 0.340 0.660
0.698 0.698 0.302
```

Calculated values
Energy relative to the lowest polymorph listed for this composition ... 240 meV per atom
E ... -4.94 eV per atom
Symmetry ... No. 42

---

No. 8
# TcSbBr3

Crystalline TcSbBr3 at its relaxed geometry (GGA-PBE, Alexandria via LeMat-Bulk).

POSCAR file:
```
TcSbBr3
1.0
-4.695 1.626 -1.520
-1.675 -0.242 4.913
1.466 4.929 0.743
Br Sb Tc
3 1 1
direct
0.000 0.000 0.500
0.000 0.500 0.000
0.500 0.000 0.000
0.500 0.500 0.500
0.000 0.000 0.000
```

Calculated values
Energy relative to the lowest polymorph listed for this composition ... 0 meV per atom
E ... -3.45 eV per atom
Symmetry ... No. 221

---

No. 9
# TcSb2TeBr

Crystalline TcSb2TeBr at its relaxed geometry (GGA-PBE, Alexandria via LeMat-Bulk).

POSCAR file:
```
TcSb2TeBr
1.0
5.251 0.000 0.000
0.000 5.251 0.000
0.000 0.000 5.165
Te Tc Sb Br
1 1 2 1
direct
0.000 0.000 0.500
0.000 0.000 0.000
0.500 0.000 0.000
0.000 0.500 0.000
0.500 0.500 0.500
```

Calculated values
Energy relative to the lowest polymorph listed for this composition ... 0 meV per atom
E ... -4.37 eV per atom
Symmetry ... No. 123

---

No. 10
# TcSbTe2Br

Crystalline TcSbTe2Br at its relaxed geometry (GGA-PBE, Alexandria via LeMat-Bulk).

POSCAR file:
```
TcSbTe2Br
1.0
-0.761 -4.547 -2.383
3.074 -2.333 3.470
-4.246 -0.932 3.135
Sb Tc Br Te
1 1 1 2
direct
0.000 0.000 0.500
0.000 0.000 0.000
0.500 0.500 0.500
0.500 0.000 0.000
0.000 0.500 0.000
```

Calculated values
Energy relative to the lowest polymorph listed for this composition ... 0 meV per atom
E ... -4.15 eV per atom
Symmetry ... No. 123

---

No. 11
# TcSbTe2Br

Crystalline TcSbTe2Br at its relaxed geometry (GGA-PBE, Alexandria via LeMat-Bulk).

POSCAR file:
```
TcSbTe2Br
1.0
-4.865 1.071 2.564
-2.774 -1.578 -4.604
-0.153 -5.108 1.844
Br Tc Te Sb
1 1 2 1
direct
0.000 0.000 0.000
0.500 0.500 0.500
0.000 0.500 0.000
0.500 0.000 0.000
0.000 0.000 0.500
```

Calculated values
Energy relative to the lowest polymorph listed for this composition ... 1196 meV per atom
E ... -2.96 eV per atom
Symmetry ... No. 123

---

No. 12
# TcSb2TeBr

Crystalline TcSb2TeBr at its relaxed geometry (GGA-PBE, Alexandria via LeMat-Bulk).

POSCAR file:
```
TcSb2TeBr
1.0
-4.420 2.137 -2.295
1.870 -1.388 -4.894
-2.624 -4.984 0.411
Br Sb Tc Te
1 2 1 1
direct
0.000 0.000 0.000
0.500 0.000 0.000
0.000 0.500 0.000
0.500 0.500 0.500
0.000 0.000 0.500
```

Calculated values
Energy relative to the lowest polymorph listed for this composition ... 1239 meV per atom
E ... -3.14 eV per atom
Symmetry ... No. 123